# HfZrZn2Ir4 (PBE, optimized geometry)
data_HfZrZn2Ir4
_symmetry_space_group_name_H-M 'P 4/m m m'
_symmetry_Int_Tables_number 123
_symmetry_space_group_name_Hall '-P 4 2'
_cell_length_a 4.4746
_cell_length_b 4.4746
_cell_length_c 6.3323
_cell_angle_alpha 90.00
_cell_angle_beta 90.00
_cell_angle_gamma 90.00
loop_
_atom_site_label
_atom_site_type_symbol
_atom_site_fract_x
_atom_site_fract_y
_atom_site_fract_z
Hf1 Hf 0.0000 0.0000 0.0000
Zr1 Zr 0.5000 0.5000 0.5000
Zn1 Zn 0.0000 0.0000 0.5000
Zn2 Zn 0.5000 0.5000 0.0000
Ir1 Ir 0.0000 0.5000 0.2474
# crystal system = tetragonal
# DFT formation energy = -0.685 eV per atom
# total magnetic moment = 0.001 μB per atom